Record 1
BaSrCd2 | Alexandria | GGA-PBEsol | optimized geometry; energy of formation = -18.7 kJ/mol of atoms; density of states at the Fermi level = 0.651 states/eV/cell
1.0
0.000 3.894 3.894
3.894 0.000 3.894
3.894 3.894 0.000
Ba Sr Cd
1 1 2
Direct
0.000 0.000 0.000 Ba
0.750 0.750 0.750 Sr
0.250 0.250 0.250 Cd
0.500 0.500 0.500 Cd

Record 2
LaScCl2 | Alexandria | GGA-PBEsol | optimized geometry; energy above the most stable polymorph in this dataset = 399 meV/atom; density of states at the Fermi level = 12.970 states/eV/cell
1.0
-2.921 2.921 6.553
2.921 -2.921 6.553
2.921 2.921 -6.553
La Sc Cl
2 2 4
Direct
0.000 0.000 0.000 La
0.750 0.250 0.500 La
0.250 0.750 0.500 Sc
0.500 0.500 0.000 Sc
0.188 0.625 0.063 Cl
0.375 0.438 0.563 Cl
0.562 0.125 0.937 Cl
0.875 0.812 0.437 Cl

Record 3
Zr2SbAsSe | Alexandria | GGA-PBEsol | optimized geometry; VASP energy = -5.606 eV/atom; density of states at the Fermi level = 4.308 states/eV/cell
1.0
5.345 0.000 0.000
0.000 5.345 0.000
0.000 0.000 4.920
Zr Sb As Se
2 1 1 1
Direct
0.000 0.500 0.000 Zr
0.500 0.000 0.000 Zr
0.000 0.000 0.000 Sb
0.000 0.000 0.500 As
0.500 0.500 0.500 Se

Record 4
Cr3BW | Alexandria | GGA-PBEsol | optimized geometry; energy of formation = 26.8 kJ/mol of atoms; density of states at the Fermi level = 5.209 states/eV/cell
1.0
3.863 0.000 0.000
0.000 3.863 0.000
0.000 0.000 3.863
Cr B W
3 1 1
Direct
0.000 0.000 0.500 Cr
0.000 0.500 0.000 Cr
0.500 0.000 0.000 Cr
0.000 0.000 0.000 B
0.500 0.500 0.500 W

Record 5
CsLiPS2 | Alexandria | GGA-PBEsol | optimized geometry; VASP energy = -2.411 eV/atom; density of states at the Fermi level = 3.743 states/eV/cell
1.0
5.560 0.000 0.000
0.000 5.560 0.000
0.000 0.000 5.631
Cs Li P S
1 1 1 2
Direct
0.000 0.000 0.000 Cs
0.500 0.500 0.500 Li
0.000 0.000 0.500 P
0.000 0.500 0.000 S
0.500 0.000 0.000 S

Record 6
Ag5PS4Cl2 | Alexandria | GGA-PBEsol | optimized geometry; VASP energy = -3.927 eV/atom
1.0
7.294 0.000 0.000
0.000 5.536 3.026
0.000 -5.536 3.026
Ag P S Cl
5 1 4 2
Direct
0.000 0.000 0.000 Ag
0.283 0.348 0.735 Ag
0.283 0.735 0.348 Ag
0.717 0.348 0.735 Ag
0.717 0.735 0.348 Ag
0.500 0.944 0.944 P
0.267 0.748 0.748 S
0.500 0.006 0.303 S
0.500 0.303 0.006 S
0.733 0.748 0.748 S
0.000 0.123 0.463 Cl
0.000 0.463 0.123 Cl

Record 7
CaSe2Cl | Alexandria | GGA-PBEsol | optimized geometry; energy above the most stable polymorph in this dataset = 38 meV/atom; density of states at the Fermi level = 0.624 states/eV/cell
1.0
-2.105 2.105 11.307
2.105 -2.105 11.307
2.105 2.105 -11.307
Ca Se Cl
2 4 2
Direct
0.000 0.000 0.000 Ca
0.750 0.250 0.500 Ca
0.023 0.625 0.898 Se
0.375 0.273 0.398 Se
0.727 0.125 0.102 Se
0.875 0.977 0.602 Se
0.250 0.750 0.500 Cl
0.500 0.500 0.000 Cl

Record 8
LiZn2Au | Alexandria | GGA-PBEsol | optimized geometry; energy of formation = -31.2 kJ/mol of atoms; energy above the most stable polymorph in this dataset = 52 meV/atom; density of states at the Fermi level = 1.171 states/eV/cell
1.0
3.795 0.000 0.000
0.000 3.795 0.000
0.000 0.000 3.953
Li Zn Au
1 2 1
Direct
0.000 0.000 0.000 Li
0.000 0.500 0.500 Zn
0.500 0.000 0.500 Zn
0.500 0.500 0.000 Au

Record 9
Sc2ZnCd | Alexandria | GGA-PBEsol | optimized geometry; energy of formation = -32.2 kJ/mol of atoms; density of states at the Fermi level = 3.845 states/eV/cell
1.0
3.412 0.000 0.000
0.000 4.793 0.000
0.000 0.000 4.794
Sc Zn Cd
2 1 1
Direct
0.000 0.000 0.000 Sc
0.000 0.500 0.497 Sc
0.500 0.500 0.997 Zn
0.500 0.000 0.501 Cd

Record 10
HfCdO3 | Alexandria | GGA-PBEsol | optimized geometry; VASP energy = -5.985 eV/atom; density of states at the Fermi level = 2.280 states/eV/cell
1.0
4.055 0.000 0.000
0.000 4.055 0.000
0.000 0.000 4.055
Hf Cd O
1 1 3
Direct
0.000 0.000 0.000 Hf
0.500 0.500 0.500 Cd
0.000 0.500 0.500 O
0.500 0.000 0.500 O
0.500 0.500 0.000 O

Record 11
CsV3Se2O12 | Alexandria | GGA-PBEsol | optimized geometry; VASP energy = -7.407 eV/atom; density of states at the Fermi level = 0.000 states/eV/cell
1.0
7.088 0.000 0.000
-3.544 6.138 0.000
0.000 0.000 11.658
Cs V Se O
2 6 4 24
Direct
0.333 0.667 0.000 Cs
0.667 0.333 0.500 Cs
0.125 0.792 0.677 V
0.208 0.333 0.677 V
0.333 0.125 0.177 V
0.667 0.875 0.677 V
0.792 0.667 0.177 V
0.875 0.208 0.177 V
0.000 0.000 0.397 Se
0.000 0.000 0.897 Se
0.333 0.667 0.453 Se
0.667 0.333 0.953 Se
0.083 0.542 0.701 O
0.119 0.254 0.832 O
0.123 0.249 0.147 O
0.126 0.877 0.147 O
0.135 0.881 0.832 O
0.197 0.412 0.516 O
0.215 0.803 0.516 O
0.249 0.126 0.647 O
0.254 0.135 0.332 O
0.412 0.215 0.016 O
0.458 0.541 0.701 O
0.459 0.917 0.701 O
0.541 0.083 0.201 O
0.542 0.459 0.201 O
0.588 0.785 0.516 O
0.746 0.865 0.832 O
0.751 0.874 0.147 O
0.785 0.197 0.016 O
0.803 0.588 0.016 O
0.865 0.119 0.332 O
0.874 0.123 0.647 O
0.877 0.751 0.647 O
0.881 0.746 0.332 O
0.917 0.458 0.201 O

Record 12
Zr2MnCu | Alexandria | GGA-PBEsol | optimized geometry; energy of formation = -7.5 kJ/mol of atoms; energy above the most stable polymorph in this dataset = 25 meV/atom; density of states at the Fermi level = 3.589 states/eV/cell
1.0
0.000 3.182 3.182
3.182 0.000 3.182
3.182 3.182 0.000
Zr Mn Cu
2 1 1
Direct
0.250 0.250 0.250 Zr
0.750 0.750 0.750 Zr
0.000 0.000 0.000 Mn
0.500 0.500 0.500 Cu